(A)
The following is a DFT calculation (SCAN) of MoRh5 at its PBEsol-relaxed geometry.

a = 2.6887 Å, b = 2.6887 Å, c = 11.3993 Å
α = 90.00°, β = 90.00°, γ = 90.00°
Closest atoms and distances in Å follow each position.
Positions (direct):
Rh  0.0000  0.0000  0.0000  12 Rh 2.65-2.69
Rh  0.0000  0.0000  0.3333  4 Mo 2.69, 8 Rh 2.69-2.72
Rh  0.0000  0.0000  0.6667  4 Mo 2.69, 8 Rh 2.69-2.72
Rh  0.5000  0.5000  0.8376  12 Rh 2.65-2.72
Rh  0.5000  0.5000  0.1624  12 Rh 2.65-2.72
Mo  0.5000  0.5000  0.5000  8 Rh 2.69, 4 Mo 2.69

Output
- DOS(E_F): 0.936 states/eV/atom

(B)
The following is a DFT calculation (SCAN) of MoRh5 at its PBEsol-relaxed geometry.

a = 2.7109 Å, b = 4.3131 Å, c = 7.1574 Å
α = 90.00°, β = 100.92°, γ = 90.00°
Closest atoms and distances in Å follow each position.
Positions (direct):
Rh  0.2226  0.5000  0.4452  12 Rh 2.67-2.71
Rh  0.3356  0.0000  0.6711  10 Rh 2.65-2.75, 2 Mo 2.66
Rh  0.8884  0.5000  0.7768  10 Rh 2.65-2.72, 2 Mo 2.65
Rh  0.6657  0.0000  0.3314  10 Rh 2.65-2.75, 2 Mo 2.71
Rh  0.5559  0.5000  0.1119  8 Rh 2.65-2.72, 4 Mo 2.67
Mo  0.9985  0.0000  0.9969  10 Rh 2.65-2.71, 2 Mo 2.71

Output
- DOS(E_F): 0.951 states/eV/atom

It turns out (B) is the most stable, with the second structure 62 meV per atom higher.

(A)
The following is a DFT calculation (SCAN) of MoRh5 at its PBEsol-relaxed geometry.

a = 4.3054 Å, b = 4.6898 Å, c = 4.6898 Å
α = 120.00°, β = 90.00°, γ = 90.00°
Closest atoms and distances in Å follow each position.
Positions (direct):
Rh  0.0000  0.6640  0.0000  10 Rh 2.66-2.73, 2 Mo 2.67
Rh  0.0000  0.3360  0.3360  10 Rh 2.66-2.73, 2 Mo 2.67
Rh  0.5000  0.6667  0.3333  9 Rh 2.66-2.71, 3 Mo 2.71
Rh  0.5000  0.3333  0.6667  9 Rh 2.66-2.71, 3 Mo 2.71
Rh  0.0000  0.0000  0.6640  10 Rh 2.66-2.73, 2 Mo 2.67
Mo  0.5000  0.0000  0.0000  12 Rh 2.67-2.71

Output
- DOS(E_F): 0.962 states/eV/atom

(B)
The following is a DFT calculation (SCAN) of MoRh5 at its PBEsol-relaxed geometry.

a = 2.7064 Å, b = 5.1174 Å, c = 6.3569 Å
α = 103.67°, β = 90.00°, γ = 105.33°
Closest atoms and distances in Å follow each position.
Positions (direct):
Rh  0.3904  0.7808  0.2756  10 Rh 2.64-2.71, 2 Mo 2.65
Rh  0.6645  0.3290  0.3295  10 Rh 2.64-2.77, 2 Mo 2.68
Rh  0.3361  0.6722  0.6731  10 Rh 2.65-2.77, 2 Mo 2.66
Rh  0.0544  0.1088  0.6114  1 Mo 2.64, 11 Rh 2.65-2.71
Rh  0.7209  0.4419  0.9450  9 Rh 2.64-2.71, 3 Mo 2.66-2.69
Mo  0.0003  0.0006  0.9987  10 Rh 2.64-2.69, 2 Mo 2.71

Output
- DOS(E_F): 0.983 states/eV/atom

(C)
The following is a DFT calculation (SCAN) of MoRh5 at its PBEsol-relaxed geometry.

a = 3.8015 Å, b = 3.8162 Å, c = 5.9761 Å
α = 90.00°, β = 108.55°, γ = 90.00°
Closest atoms and distances in Å follow each position.
Positions (direct):
Rh  0.6659  0.5000  0.3318  10 Rh 2.67-2.74, 2 Mo 2.68
Rh  0.3341  0.5000  0.6682  10 Rh 2.67-2.74, 2 Mo 2.68
Rh  0.8390  0.0000  0.6781  2 Mo 2.63, 10 Rh 2.64-2.77
Rh  0.0000  0.5000  0.0000  8 Rh 2.64-2.67, 4 Mo 2.69
Rh  0.1610  0.0000  0.3219  2 Mo 2.63, 10 Rh 2.64-2.77
Mo  0.5000  0.0000  0.0000  12 Rh 2.63-2.69

Output
- DOS(E_F): 0.732 states/eV/atom

It turns out (C) is the most stable, with the second structure 13 meV per atom higher.

(A)
The following is a DFT calculation (SCAN) of SrMo2Rh at its PBEsol-relaxed geometry.

a = 3.1018 Å, b = 5.2377 Å, c = 5.3393 Å
α = 102.14°, β = 106.89°, γ = 90.00°
Closest atoms and distances in Å follow each position.
Positions (direct):
Rh  0.5000  0.0000  0.0000  4 Mo 2.66
Mo  0.2156  0.1435  0.4312  2 Mo 2.37
Mo  0.7844  0.8565  0.5688  2 Mo 2.37
Sr  0.0000  0.5000  0.0000  4 Rh 3.04, 2 Sr 3.10, 2 Mo 3.19

Output
- DOS(E_F): 0.664 states/eV/atom

(B)
The following is a DFT calculation (SCAN) of SrMo2Rh at its PBEsol-relaxed geometry.

a = 3.3487 Å, b = 3.3487 Å, c = 7.3119 Å
α = 90.00°, β = 90.00°, γ = 90.00°
Closest atoms and distances in Å follow each position.
Positions (direct):
Mo  0.0000  0.0000  0.1574  1 Mo 2.30
Mo  0.0000  0.0000  0.8426  1 Mo 2.30
Rh  0.5000  0.5000  0.0000  8 Mo 2.63
Sr  0.5000  0.5000  0.5000  4 Sr 3.35, 8 Mo 3.45, 2 Rh 3.66

Output
- DOS(E_F): 1.074 states/eV/atom

(C)
The following is a DFT calculation (SCAN) of SrMo2Rh at its PBEsol-relaxed geometry.

a = 2.8350 Å, b = 2.8350 Å, c = 10.2601 Å
α = 82.06°, β = 82.06°, γ = 60.00°
Closest atoms and distances in Å follow each position.
Positions (direct):
Mo  0.2373  0.2373  0.2882  3 Rh 2.70, 6 Mo 2.84
Mo  0.7627  0.7627  0.7118  3 Rh 2.70, 6 Mo 2.84
Rh  0.5000  0.5000  0.5000  6 Mo 2.70, 6 Rh 2.84
Sr  0.0000  0.0000  0.0000  6 Sr 2.84

Output
- DOS(E_F): 1.112 states/eV/atom

It turns out (A) is the most stable, with the second structure 200 meV per atom higher.

(A)
The following is a DFT calculation (SCAN) of Ta2MoRh at its PBEsol-relaxed geometry.

a = 3.2963 Å, b = 4.2436 Å, c = 4.5678 Å
α = 90.00°, β = 90.00°, γ = 90.00°
Closest atoms and distances in Å follow each position.
Positions (direct):
Ta  0.5000  0.0000  0.5000  4 Rh 2.69, 4 Ta 2.82
Ta  0.0000  0.0000  0.0000  4 Mo 2.69, 4 Ta 2.82
Mo  0.5000  0.5000  0.0000  4 Ta 2.69, 4 Rh 2.82
Rh  0.0000  0.5000  0.5000  4 Ta 2.69, 4 Mo 2.82

Output
- DOS(E_F): 0.986 states/eV/atom

(B)
The following is a DFT calculation (SCAN) of Ta2MoRh at its PBEsol-relaxed geometry.

a = 3.1960 Å, b = 3.1960 Å, c = 6.2459 Å
α = 90.00°, β = 90.00°, γ = 90.00°
Closest atoms and distances in Å follow each position.
Positions (direct):
Mo  0.5000  0.5000  0.0000  8 Ta 2.73
Ta  0.0000  0.0000  0.2457  4 Mo 2.73, 4 Rh 2.76
Ta  0.0000  0.0000  0.7543  4 Mo 2.73, 4 Rh 2.76
Rh  0.5000  0.5000  0.5000  8 Ta 2.76

Output
- DOS(E_F): 0.642 states/eV/atom

(C)
The following is a DFT calculation (SCAN) of Ta2MoRh at its PBEsol-relaxed geometry.

a = 4.4804 Å, b = 4.4804 Å, c = 4.4804 Å
α = 60.00°, β = 60.00°, γ = 60.00°
Closest atoms and distances in Å follow each position.
Positions (direct):
Ta  0.2500  0.2500  0.2500  4 Mo 2.74, 4 Rh 2.74
Ta  0.7500  0.7500  0.7500  4 Rh 2.74, 4 Mo 2.74
Mo  0.5000  0.5000  0.5000  8 Ta 2.74
Rh  0.0000  0.0000  0.0000  8 Ta 2.74

Output
- DOS(E_F): 0.817 states/eV/atom

It turns out (B) is the most stable, with the second structure 16 meV per atom higher.

(A)
The following is a DFT calculation (SCAN) of TcMoRh at its PBEsol-relaxed geometry.

a = 2.6849 Å, b = 2.6849 Å, c = 6.2089 Å
α = 102.47°, β = 102.47°, γ = 90.06°
Closest atoms and distances in Å follow each position.
Positions (direct):
Mo  0.0024  0.0024  0.0049  4 Mo 2.68, 4 Rh 2.74, 4 Tc 2.80
Rh  0.6695  0.6695  0.3390  4 Tc 2.67, 4 Rh 2.68, 4 Mo 2.74
Tc  0.3281  0.3281  0.6561  4 Rh 2.67, 4 Tc 2.68, 4 Mo 2.80

Output
- DOS(E_F): 1.120 states/eV/atom

(B)
The following is a DFT calculation (SCAN) of TcMoRh at its PBEsol-relaxed geometry.

a = 2.7009 Å, b = 2.7009 Å, c = 6.7588 Å
α = 90.00°, β = 90.00°, γ = 120.00°
Closest atoms and distances in Å follow each position.
Positions (direct):
Tc  0.3333  0.6667  0.3387  3 Rh 2.70, 6 Tc 2.70, 3 Mo 2.79
Rh  0.6667  0.3333  0.6648  3 Tc 2.70, 6 Rh 2.70, 3 Mo 2.73
Mo  0.0000  0.0000  0.9965  6 Mo 2.70, 3 Rh 2.73, 3 Tc 2.79

Output
- DOS(E_F): 1.129 states/eV/atom

(C)
The following is a DFT calculation (SCAN) of TcMoRh at its PBEsol-relaxed geometry.

a = 4.1321 Å, b = 4.1321 Å, c = 4.1321 Å
α = 60.00°, β = 60.00°, γ = 60.00°
Closest atoms and distances in Å follow each position.
Positions (direct):
Mo  0.2500  0.2500  0.2500  4 Rh 2.53, 4 Tc 2.53
Tc  0.5000  0.5000  0.5000  4 Mo 2.53
Rh  0.0000  0.0000  0.0000  4 Mo 2.53

Output
- DOS(E_F): 1.312 states/eV/atom

It turns out (A) is the most stable, with the second structure 92 meV per atom higher.

(A)
The following is a DFT calculation (SCAN) of Tl2MoRh at its PBEsol-relaxed geometry.

a = 3.0517 Å, b = 4.6641 Å, c = 5.2237 Å
α = 90.00°, β = 90.00°, γ = 90.00°
Closest atoms and distances in Å follow each position.
Positions (direct):
Tl  0.0000  0.0000  0.0000  4 Mo 2.79, 6 Tl 3.02-3.05
Tl  0.5000  0.0000  0.5000  4 Rh 2.79, 6 Tl 3.02-3.05
Rh  0.0000  0.5000  0.5000  4 Tl 2.79, 4 Mo 3.02, 2 Rh 3.05
Mo  0.5000  0.5000  0.0000  4 Tl 2.79, 4 Rh 3.02, 2 Mo 3.05

Output
- DOS(E_F): 0.610 states/eV/atom

(B)
The following is a DFT calculation (SCAN) of Tl2MoRh at its PBEsol-relaxed geometry.

a = 2.9220 Å, b = 4.7690 Å, c = 6.1478 Å
α = 112.82°, β = 103.75°, γ = 90.00°
Closest atoms and distances in Å follow each position.
Positions (direct):
Tl  0.7703  0.2703  0.5407  4 Rh 2.85, 2 Tl 2.92
Tl  0.9777  0.9777  0.9554  4 Mo 2.85, 2 Tl 2.92, 2 Rh 3.16
Rh  0.2221  0.7221  0.4443  2 Mo 2.56, 4 Tl 2.85
Mo  0.5298  0.5298  0.0597  2 Rh 2.56, 4 Tl 2.85

Output
- DOS(E_F): 0.568 states/eV/atom

(C)
The following is a DFT calculation (SCAN) of Tl2MoRh at its PBEsol-relaxed geometry.

a = 3.0713 Å, b = 5.1776 Å, c = 5.5365 Å
α = 117.88°, β = 106.10°, γ = 90.00°
Closest atoms and distances in Å follow each position.
Positions (direct):
Tl  0.7391  0.7391  0.4782  2 Rh 2.70, 2 Mo 2.87, 4 Tl 3.02
Tl  0.2609  0.2609  0.5218  2 Rh 2.70, 2 Mo 2.87, 4 Tl 3.02
Rh  0.0000  0.5000  0.0000  4 Tl 2.70, 4 Mo 3.01
Mo  0.5000  0.0000  0.0000  4 Tl 2.87, 4 Rh 3.01, 2 Mo 3.07

Output
- DOS(E_F): 0.682 states/eV/atom

It turns out (B) is the most stable, with the second structure 116 meV per atom higher.